Computed, not measured: a PBEsol-optimized structure of Co2OsPdAu at the SCAN level of DFT.

Output
* N(E_F): 4.095 states/eV per cell
* energy of formation: 921 kJ/mol of formula units
* uncorrected energy: -39.77 eV/atom
* magnetization: 7.3 μB/f.u.

Unit cell a=4.4867 b=4.4867 c=4.8395 alpha=90.00 beta=90.00 gamma=90.00
With the nearest neighbours (Å) after each atom.
Space group P4/mmm (No. 123)
Inequivalent atoms, fractional coordinates:
Co: 0.0000 0.5000 0.0000  2 Au 2.24
Os: 0.0000 0.0000 0.5000  2 Au 2.42
Pd: 0.5000 0.5000 0.5000  4 Os 3.17, 8 Co 3.30
Au: 0.0000 0.0000 0.0000  4 Co 2.24, 2 Os 2.42